1.
VASP calculation (GGA-PBE) on crystalline Ca8BiSb5 at its relaxed geometry.

Structure (POSCAR):
```
Ca8BiSb5
1.0
-4.775 4.775 4.756
4.775 -4.775 4.756
4.775 4.775 -4.756
Ca Bi Sb
8 1 5
Direct
0.015 0.120 0.747
0.221 0.475 0.596
0.373 0.268 0.253
0.375 0.779 0.254
0.525 0.121 0.746
0.732 0.985 0.105
0.879 0.625 0.404
0.880 0.627 0.895
0.500 0.500 0.000
0.001 0.379 0.124
0.123 0.999 0.378
0.255 0.877 0.876
0.621 0.745 0.622
0.750 0.250 0.500
```

Calculated values
SG: I-4
Calculated density: 4.4 Mg/m³
Formation energy from raw total energies: -0.965 eV/atom
Total energy: -54.02 eV for the cell shown

---

2.
VASP calculation (GGA-PBE) on crystalline Hf2BePRu at its relaxed geometry.

Structure (POSCAR):
```
Hf2BePRu
1.0
4.854 0.000 0.000
0.000 4.854 0.000
0.000 0.000 3.733
Hf Be P Ru
2 1 1 1
Direct
0.000 0.500 0.000
0.500 0.000 0.000
0.000 0.000 0.500
0.000 0.000 0.000
0.500 0.500 0.500
```

Calculated values
SG: P4/mmm
Calculated density: 9.4 Mg/m³
Total energy: -38.35 eV for the cell shown

---

3.
VASP calculation (GGA-PBE) on crystalline K2Pm2SbO6 at its relaxed geometry.

Structure (POSCAR):
```
K2Pm2SbO6
1.0
3.053 -5.254 0.000
3.053 5.254 0.000
-1.817 0.000 6.426
K Pm Sb O
2 2 1 6
Direct
0.160 0.840 0.000
0.840 0.160 0.000
0.335 0.665 0.500
0.665 0.335 0.500
0.000 0.000 0.500
0.046 0.364 0.675
0.248 0.248 0.323
0.364 0.046 0.675
0.636 0.954 0.325
0.752 0.752 0.677
0.954 0.636 0.325
```

Calculated values
SG: C2/m
Calculated density: 4.7 Mg/m³
Formation energy from raw total energies: -2.246 eV/atom
Total energy: -70.27 eV for the cell shown

---

4.
VASP calculation (GGA-PBE) on crystalline HfCo3Ni at its relaxed geometry.

Structure (POSCAR):
```
HfCo3Ni
1.0
4.240 0.000 0.000
0.000 4.240 0.000
0.000 0.000 4.240
Hf Co Ni
1 3 1
Direct
0.000 0.000 0.000
0.000 0.500 0.500
0.500 0.000 0.500
0.500 0.500 0.000
0.500 0.500 0.500
```

Calculated values
SG: Pm-3m
Calculated density: 9.0 Mg/m³
Total energy: -33.60 eV for the cell shown
Relative energy among the computed polymorphs: 0.000 eV per atom